[1]
This record from the Alexandria database describes crystalline AcPr12Tm7 at its relaxed geometry. The functional is PBE.

Results
The formation energy is 0.6387 eV/atom. For the calculated volume, the calculation gives 786.96 Å³ per cell. The total energy comes out at -79.99 eV/cell. As for the magnetic moment: 0.0 μB/cell. The energy above the most stable polymorph in this dataset is 811.4 kJ/mol of formula units.

abc: 10.0738 10.0738 10.0738
angles: 109.47 109.47 109.47
Closest atoms and distances in Å follow each position.
Fractional coordinates of all 20 atoms:
Pr 0.2313 0.9372 0.7059  2 Tm 2.96
Pr 0.4746 0.7059 0.7687  2 Tm 2.96
Tm 0.0000 0.5000 0.0000  6 Pr 2.96
Tm 0.5000 0.0000 0.5000  8 Pr 3.60-3.94
Pr 0.7687 0.4746 0.7059  2 Tm 2.96
Pr 0.7687 0.0628 0.2941  2 Tm 2.96
Pr 0.5254 0.2941 0.2313  2 Tm 2.96
Pr 0.9372 0.7059 0.2313  2 Tm 2.96
Tm 0.5000 0.5000 0.0000  8 Pr 3.60-3.94
Pr 0.7059 0.2313 0.9372  2 Tm 2.96
Tm 0.0000 0.5000 0.5000  8 Pr 3.60-3.94
Ac 0.0000 0.0000 0.0000  12 Pr 4.35
Pr 0.2313 0.5254 0.2941  2 Tm 2.96
Tm 0.5000 0.5000 0.5000  6 Pr 2.96
Tm 0.5000 0.0000 0.0000  6 Pr 2.96
Pr 0.7059 0.7687 0.4746  2 Tm 2.96
Pr 0.0628 0.2941 0.7687  2 Tm 2.96
Pr 0.2941 0.7687 0.0628  2 Tm 2.96
Tm 0.0000 0.0000 0.5000  6 Pr 2.96
Pr 0.2941 0.2313 0.5254  2 Tm 2.96

[2]
This record from the Alexandria database describes crystalline ZrInAgRh at its relaxed geometry. The functional is PBE.

Results
The formation energy is -0.3729 eV/atom. For the calculated volume, the calculation gives 74.07 Å³ per cell. The total energy comes out at -22.98 eV/cell. As for the magnetic moment: 0.0 μB/cell.

abc: 4.7140 4.7140 4.7140
angles: 60.00 60.00 60.00
Closest atoms and distances in Å follow each position.
Fractional coordinates of all 4 atoms:
In 0.5000 0.5000 0.5000  4 Ag 2.89, 4 Rh 2.89
Zr 0.0000 0.0000 0.0000  4 Rh 2.89, 4 Ag 2.89
Rh 0.7500 0.7500 0.7500  4 In 2.89, 4 Zr 2.89
Ag 0.2500 0.2500 0.2500  4 In 2.89, 4 Zr 2.89

[3]
This record from the Alexandria database describes crystalline KNiTe2 at its relaxed geometry. The functional is PBE.

Results
For the calculated volume, the calculation gives 102.38 Å³ per cell. The total energy comes out at -12.62 eV/cell. As for the magnetic moment: 0.2 μB/cell. For the formation energy (no corrections), the calculation gives 0.14 eV/atom.

abc: 5.6818 5.6818 3.1715
angles: 90.00 90.00 90.09
Closest atoms and distances in Å follow each position.
Fractional coordinates of all 4 atoms:
Ni 0.0000 0.5000 0.5000  2 Ni 3.17, 8 Te 3.25
Te 0.5000 0.5000 0.0000  2 Te 3.17, 4 Ni 3.25, 4 K 3.25
Te 0.0000 0.0000 0.0000  2 Te 3.17, 4 K 3.25, 4 Ni 3.25
K 0.5000 0.0000 0.5000  2 K 3.17, 8 Te 3.25

[4]
This record from the Alexandria database describes crystalline Mg2AlCr3S8 at its relaxed geometry. The functional is PBE.

Results
For the calculated volume, the calculation gives 265.80 Å³ per cell. The total energy comes out at -82.60 eV/cell. As for the magnetic moment: 9.0 μB/cell. For the formation energy (no corrections), the calculation gives -0.98 eV/atom.

abc: 7.2022 7.2022 7.2022
angles: 60.27 60.27 60.27
Closest atoms and distances in Å follow each position.
Fractional coordinates of all 14 atoms:
Cr 0.0000 0.5000 0.5000  6 S 2.43
S 0.7371 0.7371 0.2888  1 Al 2.43, 2 Cr 2.43, 1 Mg 2.44
Mg 0.8760 0.8760 0.8760  4 S 2.44-2.45
Al 0.5000 0.5000 0.5000  6 S 2.43
S 0.7371 0.2888 0.7371  1 Al 2.43, 2 Cr 2.43, 1 Mg 2.44
S 0.2888 0.7371 0.7371  1 Al 2.43, 2 Cr 2.43, 1 Mg 2.44
S 0.2629 0.2629 0.7112  1 Al 2.43, 2 Cr 2.43, 1 Mg 2.44
Mg 0.1240 0.1240 0.1240  4 S 2.44-2.45
Cr 0.5000 0.5000 0.0000  6 S 2.43
S 0.7369 0.7369 0.7369  3 Cr 2.43, 1 Mg 2.45
S 0.2629 0.7112 0.2629  1 Al 2.43, 2 Cr 2.43, 1 Mg 2.44
Cr 0.5000 0.0000 0.5000  6 S 2.43
S 0.7112 0.2629 0.2629  1 Al 2.43, 2 Cr 2.43, 1 Mg 2.44
S 0.2631 0.2631 0.2631  3 Cr 2.43, 1 Mg 2.45